No. 1
Density functional theory data (GGA-PBE) for Tm3IrRh2 after structural relaxation.

Unit cell a=4.7803 b=4.7803 c=11.6936 alpha=90.00 beta=90.00 gamma=120.00
Atoms (fractional coordinates):
1 Tm 0.0000 0.0000 0.2490
2 Tm 0.0000 0.0000 0.7510
3 Tm 0.3333 0.6667 0.4157
4 Tm 0.3333 0.6667 0.9167
5 Tm 0.6667 0.3333 0.0833
6 Tm 0.6667 0.3333 0.5843
7 Ir 0.3333 0.6667 0.1665
8 Ir 0.6667 0.3333 0.8335
9 Rh 0.0000 0.0000 0.0000
10 Rh 0.0000 0.0000 0.5000
11 Rh 0.3333 0.6667 0.6648
12 Rh 0.6667 0.3333 0.3352

Computed properties:
E above lowest polymorph: 0 kJ/mol of formula units
Space group: P-3m1 (164)
Energy relative to the elements: -969 meV per atom
Crystal system: trigonal
Size of the total moment: 0.00 Bohr magnetons per cell

No. 2
Density functional theory data (GGA-PBE) for KIn2Os after structural relaxation.

Unit cell a=6.0695 b=6.0695 c=2.8386 alpha=99.32 beta=99.32 gamma=115.12
Atoms (fractional coordinates):
1 K 0.0000 0.0000 0.0000
2 In 0.0000 0.5000 0.5000
3 In 0.5000 0.0000 0.5000
4 Os 0.5000 0.5000 0.0000

Computed properties:
E above lowest polymorph: 205 kJ/mol of formula units
Space group: C2/m (12)
Energy relative to the elements: 865 meV per atom
Crystal system: monoclinic
Size of the total moment: 0.00 Bohr magnetons per cell

No. 3
Density functional theory data (GGA-PBE) for Nb3OsW after structural relaxation.

Unit cell a=4.7856 b=4.7856 c=4.7856 alpha=90.00 beta=90.00 gamma=90.00
Atoms (fractional coordinates):
1 Nb 0.0000 0.0000 0.5000
2 Nb 0.0000 0.5000 0.0000
3 Nb 0.5000 0.0000 0.0000
4 Os 0.0000 0.0000 0.0000
5 W 0.5000 0.5000 0.5000

Computed properties:
E above lowest polymorph: 636 kJ/mol of formula units
Space group: Pm-3m (221)
Energy relative to the elements: 1522 meV per atom
Crystal system: cubic
Size of the total moment: 0.03 Bohr magnetons per cell

No. 4
Density functional theory data (GGA-PBE) for Be3AlN after structural relaxation.

Unit cell a=3.6158 b=3.6158 c=3.6158 alpha=90.00 beta=90.00 gamma=90.00
Atoms (fractional coordinates):
1 Be 0.0000 0.0000 0.5000
2 Be 0.0000 0.5000 0.0000
3 Be 0.5000 0.0000 0.0000
4 Al 0.5000 0.5000 0.5000
5 N 0.0000 0.0000 0.0000

Computed properties:
E above lowest polymorph: 0 kJ/mol of formula units
Space group: Pm-3m (221)
Crystal system: cubic
Energy relative to the elements, uncorrected: 104 meV per atom
Size of the total moment: 0.00 Bohr magnetons per cell

No. 5
Density functional theory data (GGA-PBE) for ZrRe2Rh after structural relaxation.

Unit cell a=2.7430 b=4.0263 c=6.0056 alpha=90.00 beta=90.00 gamma=90.00
Atoms (fractional coordinates):
1 Zr 0.0000 0.0000 0.0000
2 Re 0.5000 0.5000 0.2842
3 Re 0.5000 0.5000 0.7158
4 Rh 0.0000 0.0000 0.5000

Computed properties:
E above lowest polymorph: 79 kJ/mol of formula units
Space group: Pmmm (47)
Energy relative to the elements: 80 meV per atom
Crystal system: orthorhombic
Size of the total moment: 0.00 Bohr magnetons per cell

No. 6
Density functional theory data (GGA-PBE) for HfZrSe3 after structural relaxation.

Unit cell a=5.0991 b=5.0991 c=5.0991 alpha=90.00 beta=90.00 gamma=90.00
Atoms (fractional coordinates):
1 Hf 0.0000 0.0000 0.0000
2 Zr 0.5000 0.5000 0.5000
3 Se 0.0000 0.0000 0.5000
4 Se 0.0000 0.5000 0.0000
5 Se 0.5000 0.0000 0.0000

Computed properties:
E above lowest polymorph: 423 kJ/mol of formula units
Space group: Pm-3m (221)
Crystal system: cubic
Energy relative to the elements, uncorrected: -355 meV per atom
Size of the total moment: 1.87 Bohr magnetons per cell